# Ce3Ho2S8

An optimized crystal structure of Ce3Ho2S8 (PBE, Alexandria via LeMat-Bulk).

Summary:
ΔE_f (raw)   -1.944 eV per atom
Space group   No. 12
Total magnetization   0.16 μB/atom

abc: 8.086 8.086 7.123
angles: 108.71 108.71 61.03
Sites, in units of the cell vectors:
Ce 0.000 0.000 0.000
Ce 0.257 0.743 0.500
Ce 0.743 0.257 0.500
Ho 0.257 0.257 0.541
Ho 0.743 0.743 0.459
S 0.099 0.643 0.722
S 0.117 0.117 0.745
S 0.357 0.901 0.278
S 0.369 0.369 0.310
S 0.631 0.631 0.690
S 0.643 0.099 0.722
S 0.883 0.883 0.255
S 0.901 0.357 0.278



# RbTe3H

An optimized crystal structure of RbTe3H (PBE, Alexandria via LeMat-Bulk).

Summary:
Space group   No. 221
Total magnetization   1.20 μB/atom

abc: 7.115 7.115 7.115
angles: 90.00 90.00 90.00
Sites, in units of the cell vectors:
Rb 0.000 0.000 0.000
Te 0.000 0.000 0.500
Te 0.000 0.500 0.000
Te 0.500 0.000 0.000
H 0.500 0.500 0.500



# Nd4DyCd

An optimized crystal structure of Nd4DyCd (PBE, Alexandria via LeMat-Bulk).

Summary:
Formation energy from the elements   -0.6 eV per formula unit
Space group   No. 123
Total magnetization   0.00 μB/atom

abc: 3.685 3.685 14.333
angles: 90.00 90.00 90.00
Sites, in units of the cell vectors:
Nd 0.000 0.000 0.147
Nd 0.000 0.000 0.853
Nd 0.500 0.500 0.326
Nd 0.500 0.500 0.674
Dy 0.000 0.000 0.500
Cd 0.500 0.500 0.000



no.,electronic total energy (eV per formula unit)
1,-85.2
2,-7.9
3,-25.2